Material: TlRhBr2
Method: DFT, GGA-PBEsol
State: relaxed

**Space group**: No. 123
**Energy**: -3.33 eV/atom
**D(E_F)**: 1.186 states/eV per atom
**Size of the total moment**: 1.76 μB per cell

abc: 3.458 5.143 5.143
angles: 90.00 90.00 90.00
Element x y z (fractional)
Tl  0.500  0.000  0.000
Rh  0.500  0.500  0.500
Br  0.000  0.500  0.000
Br  0.000  0.000  0.500